A plane-wave DFT calculation with PBE was carried out for a relaxed structure of Ba8PAu3Br4.

The formation energy without anion corrections comes out at -19.99 eV/f.u.

It has space group C2/m (No. 12), with a = 16.2887 Å, b = 9.4067 Å, c = 9.9413 Å, α = 90.00°, β = 123.16° and γ = 90.00°. Symmetry generates all atoms from Ba at (0.0084, 0.2440, 0.2817), Ba at (0.2357, 0.0000, 0.7184), Ba at (0.2406, 0.5000, 0.7214), P at (0.0000, 0.0000, 0.5000), Au at (0.0000, 0.5000, 0.5000), Au at (0.2500, 0.2500, 0.5000), Br at (0.0000, 0.0000, 0.0000), Br at (0.0000, 0.5000, 0.0000) and Br at (0.2500, 0.2500, 0.0000).